(1)
The following is a PBE-GGA calculation of a geometry-optimized NaCaYTl structure, from Alexandria via LeMat-Bulk.

a b c (Å): 5.486 5.486 5.486
angles (deg): 60.00 60.00 60.00
Positions (direct):
1 Na 0.000 0.000 0.000
2 Ca 0.250 0.250 0.250
3 Y 0.750 0.750 0.750
4 Tl 0.500 0.500 0.500

Output
DFT total energy (eV per atom): -3.174
SG: No. 216
M_tot (μB/atom): 0.000

(2)
The following is a PBE-GGA calculation of a geometry-optimized HfNbBi2W structure, from Alexandria via LeMat-Bulk.

a b c (Å): 5.369 5.369 5.097
angles (deg): 90.00 90.00 90.00
Positions (direct):
1 Hf 0.000 0.000 0.000
2 Nb 0.000 0.000 0.500
3 Bi 0.000 0.500 0.500
4 Bi 0.500 0.000 0.500
5 W 0.500 0.500 0.000

Output
Relative energy among the computed polymorphs (eV per atom): 0.000
DFT total energy (eV per atom): -6.486
SG: No. 123
M_tot (μB/atom): 0.757

(3)
The following is a PBE-GGA calculation of a geometry-optimized AlAg2Te structure, from Alexandria via LeMat-Bulk.

a b c (Å): 5.491 5.491 5.491
angles (deg): 134.07 134.07 66.99
Positions (direct):
1 Al 0.000 0.000 0.000
2 Ag 0.500 0.500 0.000
3 Ag 0.750 0.250 0.500
4 Te 0.250 0.750 0.500

Output
Relative energy among the computed polymorphs (eV per atom): 0.120
DFT total energy (eV per atom): -2.982
Formation energy without anion corrections (eV/f.u.): 0.659
SG: No. 119
M_tot (μB/atom): 0.000

(4)
The following is a PBE-GGA calculation of a geometry-optimized CsNb structure, from Alexandria via LeMat-Bulk.

a b c (Å): 9.705 9.705 9.705
angles (deg): 109.47 109.47 109.47
Positions (direct):
1 Cs 0.000 0.000 0.434
2 Cs 0.000 0.434 0.000
3 Cs 0.434 0.000 0.000
4 Cs 0.566 0.566 0.566
5 Nb 0.000 0.000 0.840
6 Nb 0.000 0.840 0.000
7 Nb 0.160 0.160 0.160
8 Nb 0.840 0.000 0.000

Output
Relative energy among the computed polymorphs (eV per atom): 0.340
DFT total energy (eV per atom): -4.222
SG: No. 217
M_tot (μB/atom): 0.000

(5)
The following is a PBE-GGA calculation of a geometry-optimized MgTcIr structure, from Alexandria via LeMat-Bulk.

a b c (Å): 2.830 4.780 7.410
angles (deg): 94.35 90.05 107.20
Positions (direct):
1 Mg 0.139 0.275 0.086
2 Mg 0.861 0.725 0.914
3 Tc 0.133 0.268 0.459
4 Tc 0.867 0.732 0.541
5 Ir 0.417 0.834 0.255
6 Ir 0.583 0.166 0.745

Output
Relative energy among the computed polymorphs (eV per atom): 0.143
DFT total energy (eV per atom): -6.993
SG: No. 2
M_tot (μB/atom): 0.000

- Which value of DFT total energy does entry 3 give?
  -2.982 eV per atom

Repeat the third record exactly.
The following is a PBE-GGA calculation of a geometry-optimized AlAg2Te structure, from Alexandria via LeMat-Bulk.

a b c (Å): 5.491 5.491 5.491
angles (deg): 134.07 134.07 66.99
Positions (direct):
1 Al 0.000 0.000 0.000
2 Ag 0.500 0.500 0.000
3 Ag 0.750 0.250 0.500
4 Te 0.250 0.750 0.500

Output
Relative energy among the computed polymorphs (eV per atom): 0.120
DFT total energy (eV per atom): -2.982
Formation energy without anion corrections (eV/f.u.): 0.659
SG: No. 119
M_tot (μB/atom): 0.000